(1)
Compound: GeRuO3
Source: the Alexandria database
Functional: PBE
Structure: optimized geometry

CIF file:
```
data_GeRuO3
_chemical_formula_sum 'Ge1 Ru1 O3'
_cell_length_a 3.742
_cell_length_b 3.742
_cell_length_c 3.742
_cell_angle_alpha 90.00
_cell_angle_beta 90.00
_cell_angle_gamma 90.00
_symmetry_space_group_name_H-M 'P m -3 m'
_symmetry_Int_Tables_number 221
_symmetry_space_group_name_Hall '-P 4 2 3'
loop_
_atom_site_label
_atom_site_type_symbol
_atom_site_fract_x
_atom_site_fract_y
_atom_site_fract_z
Ge1 Ge 0.000 0.000 0.000
Ru1 Ru 0.500 0.500 0.500
O1 O 0.000 0.000 0.500
```

Mass density in g/cm³: 7.0
Density of states at the Fermi level in states/eV/cell: 3.199
Volume in Å³/atom: 10.478
Total moment in μB/f.u.: 4.01
Energy relative to the elements, uncorrected in eV/atom: -0.3754



(2)
Compound: GeRu3O
Source: the Alexandria database
Functional: PBE
Structure: optimized geometry

CIF file:
```
data_GeRu3O
_chemical_formula_sum 'Ge1 Ru3 O1'
_cell_length_a 4.073
_cell_length_b 4.073
_cell_length_c 4.073
_cell_angle_alpha 90.00
_cell_angle_beta 90.00
_cell_angle_gamma 90.00
_symmetry_space_group_name_H-M 'P m -3 m'
_symmetry_Int_Tables_number 221
_symmetry_space_group_name_Hall '-P 4 2 3'
loop_
_atom_site_label
_atom_site_type_symbol
_atom_site_fract_x
_atom_site_fract_y
_atom_site_fract_z
Ge1 Ge 0.000 0.000 0.000
Ru1 Ru 0.000 0.500 0.500
O1 O 0.500 0.500 0.500
```

Mass density in g/cm³: 9.6
Density of states at the Fermi level in states/eV/cell: 3.904
Volume in Å³/atom: 13.516
Total moment in μB/f.u.: 0.00
Energy relative to the elements, uncorrected in eV/atom: 0.2966
Distance to the lowest polymorph of the same formula in eV/atom: 0.0000



(3)
Compound: GeRuO3
Source: the Alexandria database
Functional: PBE
Structure: optimized geometry

CIF file:
```
data_GeRuO3
_chemical_formula_sum 'Ge1 Ru1 O3'
_cell_length_a 3.889
_cell_length_b 3.889
_cell_length_c 3.889
_cell_angle_alpha 90.00
_cell_angle_beta 90.00
_cell_angle_gamma 90.00
_symmetry_space_group_name_H-M 'P m -3 m'
_symmetry_Int_Tables_number 221
_symmetry_space_group_name_Hall '-P 4 2 3'
loop_
_atom_site_label
_atom_site_type_symbol
_atom_site_fract_x
_atom_site_fract_y
_atom_site_fract_z
Ge1 Ge 0.000 0.000 0.000
Ru1 Ru 0.500 0.500 0.500
O1 O 0.000 0.500 0.500
```

Mass density in g/cm³: 6.3
Density of states at the Fermi level in states/eV/cell: 2.302
Volume in Å³/atom: 11.763
Total moment in μB/f.u.: 1.62
Energy relative to the elements, uncorrected in eV/atom: -0.5601